Zr4Ge2N, optimized geometry, DFT PBE; E_tot = -8.232 eV/atom; calculated density = 6.53 Mg/m³; formation energy without anion corrections = -839 meV/atom
1.0
-2.1323 2.1323 7.3287
2.1323 -2.1323 7.3287
2.1323 2.1323 -7.3287
Zr Ge N
4 2 1
Direct
0.0000 0.5000 0.5000
0.1665 0.1665 0.0000
0.5000 0.0000 0.5000
0.8335 0.8335 0.0000
0.3568 0.3568 0.0000
0.6432 0.6432 0.0000
0.0000 0.0000 0.0000